(1)
8
Lattice="-3.468 3.468 2.980 3.468 -3.468 2.980 3.468 3.468 -2.980" Properties=species:S:1:pos:R:3 comment="CaNbCo2 | Alexandria via LeMat-Bulk | PBE-GGA | optimized geometry" magmom_total_mub_per_fu=0.00 n_ef_per_ev_atom=0.65 total_energy_ev_per_cell=-48.2 crystal_system=tetragonal pbc="T T T"
Ca 0.000 0.000 0.000
Ca 0.000 3.468 1.490
Nb 3.468 0.000 1.490
Nb 0.000 0.000 2.980
Co 1.734 2.040 -0.745
Co 4.896 1.734 0.745
Co 1.734 1.428 2.235
Co -1.428 1.734 3.725

(2)
8
Lattice="-2.445 2.445 8.465 2.445 -2.445 8.465 2.445 2.445 -8.465" Properties=species:S:1:pos:R:3 comment="CaNb2Co | Alexandria via LeMat-Bulk | PBE-GGA | optimized geometry" magmom_total_mub_per_fu=0.00 de_polymorph_ev_per_atom=0.286 n_ef_per_ev_atom=1.24 crystal_system=tetragonal pbc="T T T"
Ca 0.000 0.000 0.000
Ca 0.000 2.445 4.232
Nb 1.223 -0.227 6.349
Nb 2.218 1.223 2.116
Nb 1.223 2.673 -2.116
Nb 0.227 1.223 10.581
Co 2.445 0.000 4.232
Co 0.000 0.000 8.465

(3)
10
Lattice="7.776 0.000 0.000 0.000 7.776 0.000 0.000 0.000 2.754" Properties=species:S:1:pos:R:3 comment="CaNb2Co2 | Alexandria via LeMat-Bulk | PBE-GGA | optimized geometry" magmom_total_mub_per_fu=0.00 de_polymorph_ev_per_atom=0.139 n_ef_per_ev_atom=0.67 crystal_system=tetragonal pbc="T T T"
Ca 0.000 0.000 0.000
Ca 3.888 3.888 0.000
Nb 1.088 2.800 0.000
Nb 2.800 6.688 0.000
Nb 4.976 1.088 0.000
Nb 6.688 4.976 0.000
Co 1.178 5.066 1.377
Co 2.710 1.178 1.377
Co 5.066 6.598 1.377
Co 6.598 2.710 1.377